[1]
Compound: TiBePd2
Source: Alexandria
Functional: PBE
Structure: optimized geometry

Output
VASP energy in eV/atom: -6.0796
Total moment in μB/atom: 0.1128

abc: 2.7953 2.7953 6.8931
angles: 90.00 90.00 90.00
Space group P4/mmm (No. 123)
Inequivalent atoms, fractional coordinates:
Ti1 0.0000 0.0000 0.0000 (multiplicity 1)
Be1 0.0000 0.0000 0.5000 (multiplicity 1)
Pd1 0.5000 0.5000 0.2897 (multiplicity 2)



[2]
Compound: TiBe4Pd
Source: Alexandria
Functional: PBE
Structure: optimized geometry

Output
VASP energy in eV/atom: -4.9797
Total moment in μB/atom: 0.3078

abc: 6.3168 6.3168 6.3168
angles: 90.00 90.00 90.00
Space group F-43m (No. 216)
Inequivalent atoms, fractional coordinates:
Ti1 0.0000 0.0000 0.0000 (multiplicity 4)
Be1 0.1262 0.1262 0.6262 (multiplicity 16)
Pd1 0.2500 0.2500 0.2500 (multiplicity 4)



> The highest total moment belongs to which entry?

TiBe4Pd